Mg6BWO8 | PBE with a Hubbard U | optimized geometry

```
16
Lattice="-0.944 1.667 3.869 -2.704 -3.281 0.753 6.566 -4.589 3.579" Properties=species:S:1:pos:R:3 pbc="T T T"
O -0.472 0.833 1.935
O 4.913 -3.434 2.678
W 0.000 0.000 0.000
B -1.824 -0.807 2.311
Mg 1.459 -3.102 4.101
O 1.931 -3.935 2.166
O 2.811 -1.461 3.724
O 2.983 -4.167 4.932
Mg 0.322 -2.810 1.289
Mg 1.201 -0.337 2.847
Mg 3.283 -2.295 1.790
Mg 4.420 -2.586 4.601
O -1.352 -1.640 0.377
O -0.065 -2.036 3.270
O 1.653 -1.155 0.901
Mg 3.540 -5.060 3.044
```

Density of states at the Fermi level   0.34 states/eV per cell
Total moment   0.19 μB/atom
Excess energy over the best structure of this formula in the dataset   0.000 eV/atom
Calculated volume   10.22 Å³ per atom
Energy   -5.935 eV/atom